Compound: Tl3AuSe2
Source: Alexandria via LeMat-Bulk
Functional: GGA-PBE
Structure: relaxed

The value obtained for the density is 7.677 g cm⁻³. As for the formation energy without anion corrections: -0.26 eV per atom. Its magnetic moment is 0.00 μB per formula unit.

The structure belongs to space group Ibam (No. 72); the cell edges are 7.587, 13.084 and 8.437 Å and the angles 90.00°, 90.00° and 90.00°. Symmetry generates all atoms from Tl at (0.000, 0.000, 0.250), Tl at (0.000, 0.273, 0.250), Au at (0.000, 0.500, 0.000) and Se at (0.249, 0.119, 0.000).

Compound: LaTiSeO
Source: Alexandria via LeMat-Bulk
Functional: GGA-PBE
Structure: relaxed

The value obtained for the density is 6.842 g cm⁻³. As for the formation energy without anion corrections: -1.78 eV per atom. Its magnetic moment is 0.00 μB per formula unit.

The structure belongs to space group Amm2 (No. 38); the cell edges are 3.258, 3.409 and 12.310 Å and the angles 90.00°, 90.00° and 90.00°. Symmetry generates all atoms from La at (0.000, 0.000, 0.000), Ti at (0.000, 0.000, 0.285), Se at (0.500, 0.000, 0.682) and O at (0.500, 0.000, 0.405).

Compound: Pm2In3Hg
Source: Alexandria via LeMat-Bulk
Functional: GGA-PBE
Structure: relaxed

As for the formation energy: -2.767 eV/f.u. The value obtained for the density is 8.724 g cm⁻³. Its magnetic moment is 0.00 μB per formula unit.

The structure belongs to space group Pmm2 (No. 25); the cell edges are 3.711, 4.971 and 8.615 Å and the angles 90.00°, 90.00° and 90.00°. Symmetry generates all atoms from Pm at (0.000, 0.000, 0.000), Pm at (0.000, 0.500, 0.498), In at (0.500, 0.000, 0.663), In at (0.500, 0.500, 0.168), In at (0.500, 0.500, 0.832) and Hg at (0.500, 0.000, 0.331).

Compound: Cs2AsPtI6
Source: Alexandria via LeMat-Bulk
Functional: GGA-PBE
Structure: relaxed

The value obtained for the density is 5.546 g cm⁻³. As for the formation energy without anion corrections: -0.65 eV per atom. Its magnetic moment is 0.00 μB per formula unit.

The structure belongs to space group I4/mmm (No. 139); the cell edges are 8.209, 8.209 and 11.526 Å and the angles 90.00°, 90.00° and 90.00°. Symmetry generates all atoms from Cs at (0.000, 0.500, 0.250), As at (0.000, 0.000, 0.000), Pt at (0.000, 0.000, 0.500), I at (0.000, 0.000, 0.257) and I at (0.244, 0.244, 0.500).

Compound: ScVGaBr2
Source: Alexandria via LeMat-Bulk
Functional: GGA-PBE
Structure: relaxed

The value obtained for the density is 3.581 g cm⁻³. As for the formation energy without anion corrections: 0.94 eV per atom. Its magnetic moment is 0.40 μB per formula unit.

The structure belongs to space group P4/mmm (No. 123); the cell edges are 5.276, 5.276 and 5.421 Å and the angles 90.00°, 90.00° and 90.00°. Symmetry generates all atoms from Sc at (0.000, 0.000, 0.000), V at (0.500, 0.500, 0.000), Ga at (0.000, 0.000, 0.500) and Br at (0.000, 0.500, 0.500).

Compound: Sr2Li3HoSb4
Source: Alexandria via LeMat-Bulk
Functional: GGA-PBE
Structure: relaxed

The value obtained for the density is 5.135 g cm⁻³. As for the formation energy without anion corrections: -0.79 eV per atom. Its magnetic moment is 0.00 μB per formula unit.

The structure belongs to space group P-4m2 (No. 115); the cell edges are 4.817, 4.817 and 11.820 Å and the angles 90.00°, 90.00° and 90.00°. Symmetry generates all atoms from Sr at (0.000, 0.500, 0.219), Li at (0.000, 0.500, 0.880), Li at (0.500, 0.500, 0.500), Ho at (0.000, 0.000, 0.500), Sb at (0.000, 0.000, 0.000), Sb at (0.000, 0.500, 0.650) and Sb at (0.500, 0.500, 0.000).

Compound: CsGa3Sn3
Source: Alexandria via LeMat-Bulk
Functional: GGA-PBE
Structure: relaxed

As for the formation energy: 0.154 eV/f.u. The value obtained for the density is 4.527 g cm⁻³. Its magnetic moment is 0.00 μB per formula unit.

The structure belongs to space group R-3 (No. 148, hexagonal axes); the cell edges are 8.1650, 8.1650 and 26.6124 Å and the angles 90.00°, 90.00° and 120.00°. Symmetry generates all atoms from Cs at (0.0000, 0.0000, 0.1668), Ga at (0.0012, 0.3338, 0.9443) and Sn at (0.0006, 0.6694, 0.6128).

Compound: SrPb3Cl8
Source: Alexandria via LeMat-Bulk
Functional: GGA-PBE
Structure: relaxed

The value obtained for the density is 3.465 g cm⁻³. As for the formation energy without anion corrections: -1.45 eV per atom. Its magnetic moment is 0.00 μB per formula unit.

The structure belongs to space group Cm (No. 8); the cell edges are 18.305, 5.697 and 9.699 Å and the angles 90.00°, 109.81° and 90.00°. Symmetry generates all atoms from Sr at (0.000, 0.000, 0.000), Pb at (0.091, 0.000, 0.587), Pb at (0.303, 0.000, 0.006), Pb at (0.395, 0.000, 0.597), Cl at (0.049, 0.500, 0.579), Cl at (0.082, 0.000, 0.301), Cl at (0.140, 0.000, 0.923), Cl at (0.253, 0.000, 0.679), Cl at (0.321, 0.000, 0.305), Cl at (0.342, 0.500, 0.013), Cl at (0.432, 0.500, 0.665) and Cl at (0.463, 0.000, 0.951).

Compound: KAs2Se
Source: Alexandria via LeMat-Bulk
Functional: GGA-PBE
Structure: relaxed

The value obtained for the density is 4.349 g cm⁻³. As for the formation energy without anion corrections: -0.05 eV per atom. Its magnetic moment is 0.00 μB per formula unit.

The structure belongs to space group P4mm (No. 99); the cell edges are 3.337, 3.337 and 9.184 Å and the angles 90.00°, 90.00° and 90.00°. Symmetry generates all atoms from K at (0.000, 0.000, 0.000), As at (0.000, 0.000, 0.583), As at (0.500, 0.500, 0.713) and Se at (0.500, 0.500, 0.253).

Compound: TcHg
Source: Alexandria via LeMat-Bulk
Functional: GGA-PBE
Structure: relaxed

As for the formation energy: 1.018 eV/f.u. The value obtained for the density is 13.486 g cm⁻³. Its magnetic moment is 0.00 μB per formula unit.

The structure belongs to space group Cm (No. 8); the cell edges are 11.580, 2.947 and 6.690 Å and the angles 90.00°, 104.93° and 90.00°. Symmetry generates all atoms from Tc at (0.000, 0.000, 0.000), Tc at (0.035, 0.000, 0.678), Tc at (0.183, 0.500, 0.980), Hg at (0.131, 0.500, 0.372), Hg at (0.308, 0.000, 0.721) and Hg at (0.368, 0.000, 0.285).

Compound: Ba3SrMg2Te2O12
Source: Alexandria via LeMat-Bulk
Functional: GGA-PBE
Structure: relaxed

The value obtained for the density is 6.027 g cm⁻³. As for the formation energy without anion corrections: -2.26 eV per atom. Its magnetic moment is 0.00 μB per formula unit.

The structure belongs to space group R3m (No. 160, hexagonal axes); the cell edges are 5.7897, 5.7897 and 28.3398 Å and the angles 90.00°, 90.00° and 120.00°. Symmetry generates all atoms from Ba at (0.0000, 0.0000, 0.0000), Ba at (0.0000, 0.0000, 0.2494), Ba at (0.0000, 0.0000, 0.7503), Sr at (0.0000, 0.0000, 0.4996), Mg at (0.0000, 0.0000, 0.1253), Mg at (0.0000, 0.0000, 0.6244), Te at (0.0000, 0.0000, 0.3756), Te at (0.0000, 0.0000, 0.8742), O at (0.0144, 0.5072, 0.0020), O at (0.0141, 0.5071, 0.5013), O at (0.1723, 0.3445, 0.5802) and O at (0.1753, 0.3506, 0.0827).

Compound: LaBeSiC2
Source: Alexandria via LeMat-Bulk
Functional: GGA-PBE
Structure: relaxed

The value obtained for the density is 3.171 g cm⁻³. As for the formation energy without anion corrections: 2.58 eV per atom. Its magnetic moment is 0.00 μB per formula unit.

The structure belongs to space group P4/mmm (No. 123); the cell edges are 4.471, 4.471 and 5.241 Å and the angles 90.00°, 90.00° and 90.00°. Symmetry generates all atoms from La at (0.000, 0.000, 0.000), Be at (0.000, 0.000, 0.500), Si at (0.500, 0.500, 0.500) and C at (0.000, 0.500, 0.000).

Compound: MgWCl2
Source: Alexandria via LeMat-Bulk
Functional: GGA-PBE
Structure: relaxed

The value obtained for the density is 6.270 g cm⁻³. As for the formation energy without anion corrections: 0.28 eV per atom. Its magnetic moment is 0.68 μB per formula unit.

The structure belongs to space group Pmmm (No. 47); the cell edges are 2.927, 4.278 and 5.903 Å and the angles 90.00°, 90.00° and 90.00°. Symmetry generates all atoms from Mg at (0.000, 0.000, 0.000), W at (0.500, 0.000, 0.500), Cl at (0.000, 0.500, 0.500) and Cl at (0.500, 0.500, 0.000).

Compound: Si5Pt
Source: Alexandria via LeMat-Bulk
Functional: GGA-PBE
Structure: relaxed

The value obtained for the density is 6.270 g cm⁻³. As for the formation energy without anion corrections: 0.24 eV per atom. Its magnetic moment is 0.00 μB per formula unit.

The structure belongs to space group Cmmm (No. 65); the cell edges are 4.412, 10.785 and 3.735 Å and the angles 90.00°, 90.00° and 90.00°. Symmetry generates all atoms from Si at (0.000, 0.000, 0.000), Si at (0.000, 0.150, 0.500), Si at (0.000, 0.318, 0.000) and Pt at (0.000, 0.500, 0.500).

Compound: Ac3Te3I
Source: Alexandria via LeMat-Bulk
Functional: GGA-PBE
Structure: relaxed

The value obtained for the density is 6.923 g cm⁻³. As for the formation energy without anion corrections: -1.43 eV per atom. Its magnetic moment is 0.00 μB per formula unit.

The structure belongs to space group R-3 (No. 148, hexagonal axes); the cell edges are 9.9844, 9.9844 and 19.8474 Å and the angles 90.00°, 90.00° and 120.00°. Symmetry generates all atoms from Ac at (0.0033, 0.6403, 0.0791), Te at (0.0010, 0.2965, 0.0878) and I at (0.0000, 0.0000, 0.3298).

Compound: Rb3La2TmSe6
Source: Alexandria via LeMat-Bulk
Functional: GGA-PBE
Structure: relaxed

The value obtained for the density is 4.905 g cm⁻³. As for the formation energy without anion corrections: -1.78 eV per atom. Its magnetic moment is 0.00 μB per formula unit.

The structure belongs to space group C2/m (No. 12); the cell edges are 7.584, 13.136 and 8.391 Å and the angles 90.00°, 107.57° and 90.00°. Symmetry generates all atoms from Rb at (0.000, 0.000, 0.000), Rb at (0.000, 0.331, 0.000), La at (0.000, 0.166, 0.500), Tm at (0.000, 0.500, 0.500), Se at (0.226, 0.340, 0.698) and Se at (0.247, 0.000, 0.699).

Compound: Dy3YPu3Se8
Source: Alexandria via LeMat-Bulk
Functional: GGA-PBE
Structure: relaxed

The value obtained for the density is 8.250 g cm⁻³. As for the formation energy without anion corrections: -1.73 eV per atom. Its magnetic moment is 17.38 μB per formula unit.

The structure belongs to space group R-3m (No. 166, hexagonal axes); the cell edges are 8.1927, 8.1927 and 20.1530 Å and the angles 90.00°, 90.00° and 120.00°. Symmetry generates all atoms from Dy at (0.0000, 0.5000, 0.0000), Y at (0.0000, 0.0000, 0.0000), Pu at (0.0000, 0.5000, 0.5000), Se at (0.0000, 0.0000, 0.2513) and Se at (0.0040, 0.5020, 0.2512).

Compound: LiCa6Cl12
Source: Alexandria via LeMat-Bulk
Functional: GGA-PBE
Structure: relaxed

The value obtained for the density is 2.160 g cm⁻³. As for the formation energy without anion corrections: -2.19 eV per atom. Its magnetic moment is 0.00 μB per formula unit.

The structure belongs to space group R-3 (No. 148, hexagonal axes); the cell edges are 11.7163, 11.7163 and 13.0512 Å and the angles 90.00°, 90.00° and 120.00°. Symmetry generates all atoms from Li at (0.0000, 0.0000, 0.0000), Ca at (0.0488, 0.7786, 0.6862), Cl at (0.0291, 0.8268, 0.8936) and Cl at (0.0303, 0.8326, 0.3818).

Compound: ScBiOs2
Source: Alexandria via LeMat-Bulk
Functional: GGA-PBE
Structure: relaxed

As for the formation energy: 2.518 eV/f.u. The value obtained for the density is 12.286 g cm⁻³. Its magnetic moment is 0.00 μB per formula unit.

The structure belongs to space group I-42d (No. 122); the cell edges are 4.126, 4.126 and 20.143 Å and the angles 90.00°, 90.00° and 90.00°. Symmetry generates all atoms from Sc at (0.000, 0.000, 0.000), Bi at (0.000, 0.000, 0.500) and Os at (0.153, 0.250, 0.125).

Compound: Pr2NiPb
Source: Alexandria via LeMat-Bulk
Functional: GGA-PBE
Structure: relaxed

As for the formation energy: -1.363 eV/f.u. The value obtained for the density is 8.572 g cm⁻³. Its magnetic moment is 0.00 μB per formula unit.

The structure belongs to space group P4/mmm (No. 123); the cell edges are 3.577, 3.577 and 8.290 Å and the angles 90.00°, 90.00° and 90.00°. Symmetry generates all atoms from Pr at (0.000, 0.000, 0.207), Ni at (0.500, 0.500, 0.000) and Pb at (0.500, 0.500, 0.500).

Compound: SrTl2Ag2Cl6
Source: Alexandria via LeMat-Bulk
Functional: GGA-PBE
Structure: relaxed

The value obtained for the density is 4.335 g cm⁻³. As for the formation energy without anion corrections: -1.18 eV per atom. Its magnetic moment is 0.00 μB per formula unit.

The structure belongs to space group C2/m (No. 12); the cell edges are 13.767, 7.709 and 7.672 Å and the angles 90.00°, 119.51° and 90.00°. Symmetry generates all atoms from Sr at (0.000, 0.000, 0.000), Tl at (0.237, 0.000, 0.677), Ag at (0.064, 0.500, 0.723), Cl at (0.071, 0.253, 0.322) and Cl at (0.230, 0.000, 0.090).

Compound: Ce3IrSeCl
Source: Alexandria via LeMat-Bulk
Functional: GGA-PBE
Structure: relaxed

The value obtained for the density is 7.617 g cm⁻³. As for the formation energy without anion corrections: -1.13 eV per atom. Its magnetic moment is 3.84 μB per formula unit.

The structure belongs to space group P2_1/m (No. 11); the cell edges are 8.457, 4.078 and 9.349 Å and the angles 90.00°, 100.52° and 90.00°. Symmetry generates all atoms from Ce at (0.064, 0.250, 0.345), Ce at (0.222, 0.250, 0.992), Ce at (0.383, 0.750, 0.609), Ir at (0.164, 0.250, 0.649), Se at (0.316, 0.750, 0.267) and Cl at (0.410, 0.750, 0.904).